Entry 1:
Material: Cs2ScSiO4
Method: DFT, PBE
State: relaxed

Values from the calculation:
The uncorrected formation energy is -2.267 eV/atom. The calculation puts the density of states at the Fermi level at 5.3 states/eV per cell. The calculated density comes out at 3.21 g cm⁻³. The value obtained for the volume is 26.07 Å³ per atom. Its energy is -6.429 eV/atom.

Lattice parameters (Å, degrees): 13.5876 12.2175 7.0532 85.21 63.64 31.15
Fractional positions:
Cs 0.0504 0.0504 0.6996
Cs 0.3004 0.3004 0.9496
Cs 0.6996 0.6996 0.0504
Cs 0.9496 0.9496 0.3004
Sc 0.1250 0.1250 0.1250
Sc 0.8750 0.8750 0.8750
Si 0.3750 0.3750 0.3750
Si 0.6250 0.6250 0.6250
O 0.0653 0.6119 0.5404
O 0.2824 0.5404 0.6119
O 0.3881 0.9347 0.7176
O 0.4596 0.7176 0.9347
O 0.5404 0.2824 0.0653
O 0.6119 0.0653 0.2824
O 0.7176 0.4596 0.3881
O 0.9347 0.3881 0.4596

---

Entry 2:
Material: Cs2SmScO4
Method: DFT, PBE
State: relaxed

Values from the calculation:
The uncorrected formation energy is -2.333 eV/atom. The calculation puts the density of states at the Fermi level at 0.0 states/eV per cell. The calculated density comes out at 6.09 g cm⁻³. The value obtained for the volume is 17.90 Å³ per atom. Its energy is -6.407 eV/atom.

Lattice parameters (Å, degrees): 7.3934 7.3934 7.3934 121.18 118.47 90.32
Fractional positions:
Cs 0.0000 0.0000 0.0000
Cs 0.5000 0.0000 0.0000
Cs 0.5000 0.0000 0.5000
Cs 0.5000 0.5000 0.5000
Sm 0.0000 0.5000 0.5000
Sm 0.5000 0.5000 0.0000
Sc 0.0000 0.0000 0.5000
Sc 0.0000 0.5000 0.0000
O 0.1676 0.7298 0.4377
O 0.2079 0.2702 0.9377
O 0.2132 0.2591 0.5460
O 0.2132 0.6672 0.9540
O 0.7868 0.3328 0.0460
O 0.7868 0.7409 0.4540
O 0.7921 0.7298 0.0623
O 0.8324 0.2702 0.5623

---

Entry 3:
Material: Cs4Sm3ScO8
Method: DFT, PBE
State: relaxed

Values from the calculation:
The uncorrected formation energy is -2.523 eV/atom. The calculation puts the density of states at the Fermi level at 0.0 states/eV per cell. The calculated density comes out at 6.27 g cm⁻³. The value obtained for the volume is 19.13 Å³ per atom. Its energy is -6.496 eV/atom.

Lattice parameters (Å, degrees): 8.0370 8.0370 8.0370 52.92 52.92 52.92
Fractional positions:
Cs 0.0000 0.0000 0.0000
Cs 0.0000 0.5000 0.5000
Cs 0.5000 0.0000 0.5000
Cs 0.5000 0.5000 0.0000
Sm 0.0000 0.0000 0.5000
Sm 0.0000 0.5000 0.0000
Sm 0.5000 0.0000 0.0000
Sc 0.5000 0.5000 0.5000
O 0.2227 0.2227 0.2227
O 0.2387 0.7126 0.7126
O 0.2874 0.2874 0.7613
O 0.2874 0.7613 0.2874
O 0.7126 0.2387 0.7126
O 0.7126 0.7126 0.2387
O 0.7613 0.2874 0.2874
O 0.7773 0.7773 0.7773

---

Entry 4:
Material: CsSrScO3
Method: DFT, PBE
State: relaxed

Values from the calculation:
The uncorrected formation energy is -2.385 eV/atom. The calculated density comes out at 4.40 g cm⁻³. The value obtained for the volume is 19.74 Å³ per atom. Its energy is -6.342 eV/atom.

Lattice parameters (Å, degrees): 7.4651 7.4651 8.4125 105.27 105.27 31.69
Fractional positions:
Cs 0.1589 0.1589 0.0855
Cs 0.8411 0.8411 0.9145
Sr 0.1588 0.1588 0.5748
Sr 0.8412 0.8412 0.4252
Sc 0.4945 0.4945 0.7094
Sc 0.5055 0.5055 0.2906
O 0.0070 0.0070 0.3266
O 0.3457 0.3457 0.6445
O 0.3600 0.3600 0.2433
O 0.6400 0.6400 0.7567
O 0.6543 0.6543 0.3555
O 0.9930 0.9930 0.6734

---

Entry 5:
Material: Cs2ScTcO6
Method: DFT, PBE
State: relaxed

Values from the calculation:
The uncorrected formation energy is -1.889 eV/atom. The calculated density comes out at 4.13 g cm⁻³. The value obtained for the volume is 20.30 Å³ per atom. Its energy is -6.704 eV/atom.

Lattice parameters (Å, degrees): 6.5831 6.5831 5.4088 90.00 90.00 120.00
Fractional positions:
Cs 0.3333 0.6667 0.1967
Cs 0.6667 0.3333 0.8033
Sc 0.0000 0.0000 0.5000
Tc 0.0000 0.0000 0.0000
O 0.1316 0.2633 0.7806
O 0.1316 0.8684 0.7806
O 0.2633 0.1316 0.2194
O 0.7367 0.8684 0.7806
O 0.8684 0.1316 0.2194
O 0.8684 0.7367 0.2194

---

Entry 6:
Material: Cs2ScTe2O6
Method: DFT, PBE
State: relaxed

Values from the calculation:
The uncorrected formation energy is -1.576 eV/atom. The calculation puts the density of states at the Fermi level at 3.3 states/eV per cell. The calculated density comes out at 4.65 g cm⁻³. The value obtained for the volume is 21.49 Å³ per atom. Its energy is -5.583 eV/atom.

Lattice parameters (Å, degrees): 7.6917 7.6917 7.6917 48.80 48.80 48.80
Fractional positions:
Cs 0.2134 0.2134 0.2134
Cs 0.7866 0.7866 0.7866
Sc 0.0000 0.0000 0.0000
Te 0.4144 0.4144 0.4144
Te 0.5856 0.5856 0.5856
O 0.2197 0.2197 0.7492
O 0.2197 0.7492 0.2197
O 0.2508 0.7803 0.7803
O 0.7492 0.2197 0.2197
O 0.7803 0.2508 0.7803
O 0.7803 0.7803 0.2508

---

Entry 7:
Material: Cs2ScTeO6
Method: DFT, PBE
State: relaxed

Values from the calculation:
The uncorrected formation energy is -1.718 eV/atom. The calculation puts the density of states at the Fermi level at 2.1 states/eV per cell. The calculated density comes out at 4.04 g cm⁻³. The value obtained for the volume is 21.96 Å³ per atom. Its energy is -5.811 eV/atom.

Lattice parameters (Å, degrees): 6.7515 6.7515 5.5619 90.00 90.00 120.00
Fractional positions:
Cs 0.3333 0.6667 0.3170
Cs 0.6667 0.3333 0.6830
Sc 0.0000 0.0000 0.0000
Te 0.0000 0.0000 0.5000
O 0.1298 0.2597 0.7228
O 0.1298 0.8702 0.7228
O 0.2597 0.1298 0.2772
O 0.7403 0.8702 0.7228
O 0.8702 0.1298 0.2772
O 0.8702 0.7403 0.2772

---

Entry 8:
Material: CsScTi2O6
Method: DFT, PBE
State: relaxed

Values from the calculation:
The uncorrected formation energy is -2.925 eV/atom. The calculation puts the density of states at the Fermi level at 0.0 states/eV per cell. The calculated density comes out at 3.44 g cm⁻³. The value obtained for the volume is 17.83 Å³ per atom. Its energy is -8.197 eV/atom.

Lattice parameters (Å, degrees): 7.8500 7.8500 6.4310 101.45 101.45 107.29
Fractional positions:
Cs 0.1014 0.8986 0.7500
Cs 0.8986 0.1014 0.2500
Sc 0.2160 0.7840 0.2500
Sc 0.7840 0.2160 0.7500
Ti 0.2879 0.4381 0.8546
Ti 0.4381 0.2879 0.3546
Ti 0.5619 0.7121 0.6454
Ti 0.7121 0.5619 0.1454
O 0.0510 0.2722 0.7571
O 0.2450 0.6443 0.9765
O 0.2722 0.0510 0.2571
O 0.3526 0.4034 0.5733
O 0.3557 0.7550 0.5235
O 0.4034 0.3526 0.0733
O 0.5966 0.6474 0.9267
O 0.6443 0.2450 0.4765
O 0.6474 0.5966 0.4267
O 0.7278 0.9490 0.7429
O 0.7550 0.3557 0.0235
O 0.9490 0.7278 0.2429

---

Entry 9:
Material: CsScTiO4
Method: DFT, PBE
State: relaxed

Values from the calculation:
The uncorrected formation energy is -2.873 eV/atom. The calculation puts the density of states at the Fermi level at 0.0 states/eV per cell. The calculated density comes out at 3.74 g cm⁻³. The value obtained for the volume is 18.37 Å³ per atom. Its energy is -7.860 eV/atom.

Lattice parameters (Å, degrees): 5.6636 5.7710 7.8698 90.00 90.02 90.00
Fractional positions:
Cs 0.2336 0.2500 0.3878
Cs 0.7664 0.7500 0.6122
Sc 0.1631 0.7500 0.0345
Sc 0.8369 0.2500 0.9655
Ti 0.3441 0.2500 0.8617
Ti 0.6559 0.7500 0.1383
O 0.1117 0.0183 0.8552
O 0.1117 0.4817 0.8552
O 0.3799 0.7500 0.2593
O 0.4786 0.2500 0.0653
O 0.5214 0.7500 0.9347
O 0.6201 0.2500 0.7407
O 0.8883 0.5183 0.1448
O 0.8883 0.9817 0.1448

---

Entry 10:
Material: Cs3ScU2O9
Method: DFT, PBE
State: relaxed

Values from the calculation:
The uncorrected formation energy is -2.735 eV/atom. The calculation puts the density of states at the Fermi level at 0.0 states/eV per cell. The calculated density comes out at 7.18 g cm⁻³. The value obtained for the volume is 16.40 Å³ per atom. Its energy is -7.808 eV/atom.

Lattice parameters (Å, degrees): 6.1438 6.1438 7.5248 90.00 90.00 120.00
Fractional positions:
Cs 0.0000 0.0000 0.0000
Cs 0.3333 0.6667 0.6634
Cs 0.6667 0.3333 0.3366
Sc 0.0000 0.0000 0.5000
U 0.3333 0.6667 0.1737
U 0.6667 0.3333 0.8263
O 0.0000 0.5000 0.0000
O 0.1719 0.3439 0.3279
O 0.1719 0.8281 0.3279
O 0.3439 0.1719 0.6721
O 0.5000 0.0000 0.0000
O 0.5000 0.5000 0.0000
O 0.6561 0.8281 0.3279
O 0.8281 0.1719 0.6721
O 0.8281 0.6561 0.6721

---

Entry 11:
Material: Cs2ScU3O12
Method: DFT, PBE
State: relaxed

Values from the calculation:
The uncorrected formation energy is -2.908 eV/atom. The calculation puts the density of states at the Fermi level at 13.9 states/eV per cell. The calculated density comes out at 5.90 g cm⁻³. The value obtained for the volume is 19.02 Å³ per atom. Its energy is -8.542 eV/atom.

Lattice parameters (Å, degrees): 7.6929 7.6929 7.6929 62.85 62.85 62.85
Fractional positions:
Cs 0.1249 0.1249 0.1249
Cs 0.8751 0.8751 0.8751
Sc 0.5000 0.5000 0.5000
U 0.0000 0.5000 0.5000
U 0.5000 0.0000 0.5000
U 0.5000 0.5000 0.0000
O 0.1835 0.5619 0.5619
O 0.1836 0.1836 0.5644
O 0.1836 0.5644 0.1836
O 0.4356 0.8164 0.8164
O 0.4381 0.4381 0.8165
O 0.4381 0.8165 0.4381
O 0.5619 0.1835 0.5619
O 0.5619 0.5619 0.1835
O 0.5644 0.1836 0.1836
O 0.8164 0.4356 0.8164
O 0.8164 0.8164 0.4356
O 0.8165 0.4381 0.4381